No. 1
# SrI2N

Crystalline SrI2N at its relaxed geometry (PBE, Alexandria via LeMat-Bulk).

Computed properties:
Uncorrected energy: -58.42 eV/cell
Formation energy from raw total energies: -36.1 kJ/mol of atoms
Crystal system: monoclinic
Excess energy over the best structure of this formula in the dataset: 0.000 eV/atom
Calculated volume: 34.5 Å³/atom

```
16
Lattice="32.5685 0.0000 0.0000 0.0000 4.1056 0.0000 -0.0340 0.0000 4.1336" Properties=species:S:1:pos:R:3 pbc="T T T"
Sr 3.9856 0.0000 1.0205
Sr 12.2647 2.0528 3.1131
Sr 20.2698 2.0528 1.0205
Sr 28.5489 0.0000 3.1131
I 2.2253 2.0528 3.0724
I 6.3427 2.0528 3.1035
I 9.9075 0.0000 1.0301
I 14.0249 0.0000 1.0612
I 18.5096 0.0000 3.0724
I 22.6270 0.0000 3.1035
I 26.1918 2.0528 1.0301
I 30.3092 2.0528 1.0612
N 5.4806 0.0000 3.0997
N 10.7697 2.0528 1.0339
N 21.7648 2.0528 3.0997
N 27.0539 0.0000 1.0339
```

***

No. 2
# Pm2UOs2

Crystalline Pm2UOs2 at its relaxed geometry (PBE, Alexandria via LeMat-Bulk).

Computed properties:
Uncorrected energy: -88.24 eV/cell
Crystal system: monoclinic
Energy relative to the elements: -0.87 eV per formula unit
Calculated volume: 24.3 Å³/atom

```
10
Lattice="5.4396 -3.1496 0.0000 5.4396 3.1496 0.0000 -1.2943 0.0000 7.0957" Properties=species:S:1:pos:R:3 pbc="T T T"
Pm 1.4268 0.7645 0.9749
Pm 0.7796 -0.7645 4.5228
Pm 8.8052 0.7645 2.5729
Pm 8.1581 -0.7645 6.1207
U 5.1160 0.4412 1.7739
U 4.4689 -0.4412 5.3218
Os 3.1842 0.8988 3.4296
Os 2.5371 -0.8988 6.9774
Os 7.0478 0.8988 0.1183
Os 6.4007 -0.8988 3.6661
```

***

No. 3
# HoV2Fe10

Crystalline HoV2Fe10 at its relaxed geometry (PBE, Alexandria via LeMat-Bulk).

Computed properties:
Uncorrected energy: -108.42 eV/cell
Crystal system: orthorhombic
Energy relative to the elements: -0.98 eV per formula unit
Calculated volume: 12.8 Å³/atom

```
13
Lattice="-2.3390 4.2019 4.2401 2.3390 -4.2019 4.2401 2.3390 4.2019 -4.2401" Properties=species:S:1:pos:R:3 pbc="T T T"
Ho 0.0000 0.0000 0.0000
V 0.0000 0.0000 3.0415
V 0.0000 0.0000 5.4387
Fe 1.1695 2.1010 -2.1201
Fe 1.1695 -2.1010 2.1201
Fe 2.3390 1.8848 0.0000
Fe 2.3390 0.0000 1.9255
Fe 0.0000 3.0136 0.0000
Fe -1.1695 2.1010 2.1201
Fe 1.1695 2.1010 2.1201
Fe 0.0000 5.3902 0.0000
Fe 0.0000 4.2019 2.3147
Fe 0.0000 2.3171 4.2401
```

***

No. 4
# LiNdAsPd

Crystalline LiNdAsPd at its relaxed geometry (PBE, Alexandria via LeMat-Bulk).

Computed properties:
Uncorrected energy: -78.21 eV/cell
Crystal system: cubic
Energy relative to the elements: -3.03 eV per formula unit
Calculated volume: 20.5 Å³/atom

```
16
Lattice="6.8976 0.0000 0.0000 0.0000 6.8976 0.0000 0.0000 0.0000 6.8976" Properties=species:S:1:pos:R:3 pbc="T T T"
Li 0.0000 0.0000 0.0000
Li 0.0000 3.4488 3.4488
Li 3.4488 0.0000 3.4488
Li 3.4488 3.4488 0.0000
Nd 0.0000 0.0000 3.4488
Nd 0.0000 3.4488 0.0000
Nd 3.4488 0.0000 0.0000
Nd 3.4488 3.4488 3.4488
As 1.7244 1.7244 5.1732
As 1.7244 5.1732 1.7244
As 5.1732 1.7244 1.7244
As 5.1732 5.1732 5.1732
Pd 1.7244 1.7244 1.7244
Pd 1.7244 5.1732 5.1732
Pd 5.1732 1.7244 5.1732
Pd 5.1732 5.1732 1.7244
```

***

No. 5
# K2ZnSnRh

Crystalline K2ZnSnRh at its relaxed geometry (PBE, Alexandria via LeMat-Bulk).

Computed properties:
Uncorrected energy: -12.09 eV/cell
Crystal system: tetragonal
Energy relative to the elements: 2.73 eV per formula unit
Calculated volume: 34.1 Å³/atom

```
5
Lattice="5.9520 0.0000 0.0000 0.0000 5.9520 0.0000 0.0000 0.0000 4.8109" Properties=species:S:1:pos:R:3 pbc="T T T"
K 0.0000 2.9760 0.0000
K 2.9760 0.0000 0.0000
Zn 0.0000 0.0000 2.4054
Sn 2.9760 2.9760 2.4054
Rh 0.0000 0.0000 0.0000
```

***

No. 6
# CaY2ScO

Crystalline CaY2ScO at its relaxed geometry (PBE, Alexandria via LeMat-Bulk).

Computed properties:
Uncorrected energy: -31.18 eV/cell
Formation energy from raw total energies: -95.8 kJ/mol of atoms
Crystal system: tetragonal
Calculated volume: 24.2 Å³/atom

```
5
Lattice="5.3371 0.0000 0.0000 0.0000 5.3371 0.0000 0.0000 0.0000 4.2398" Properties=species:S:1:pos:R:3 pbc="T T T"
Ca 0.0000 0.0000 0.0000
Y 0.0000 2.6686 2.1199
Y 2.6686 0.0000 2.1199
Sc 2.6686 2.6686 0.0000
O 2.6686 2.6686 2.1199
```

***

Q: Which value of calculated volume does entry 4 give?
A: 20.5 Å³/atom

***

Q: uncorrected energy of number 4 (LiNdAsPd)?
A: -78.21 eV/cell

***

Q: Which formula does entry 3 have?
A: HoV2Fe10